*1*
The following is a GGA-PBE calculation of Ta3IrS after structural relaxation, from Alexandria.

## Properties
N(E_F) in states/eV/atom: 1.339

Unit cell a=4.4823 b=4.4823 c=4.4823 alpha=90.00 beta=90.00 gamma=90.00
Last column: nearest neighbours and their distance in Å.
Atoms (fractional coordinates):
S1 0.0000 0.0000 0.0000  6 Ta 2.24
Ir1 0.5000 0.5000 0.5000  12 Ta 3.17
Ta1 0.0000 0.5000 0.0000  2 S 2.24
Ta2 0.0000 0.0000 0.5000  2 S 2.24
Ta3 0.5000 0.0000 0.0000  2 S 2.24

*2*
The following is a GGA-PBE calculation of Ta3IrS after structural relaxation, from Alexandria.

## Properties
N(E_F) in states/eV/atom: 1.227

Unit cell a=4.8688 b=4.8688 c=4.8688 alpha=90.00 beta=90.00 gamma=90.00
Last column: nearest neighbours and their distance in Å.
Atoms (fractional coordinates):
S1 0.5000 0.5000 0.5000  12 Ta 3.44
Ir1 0.0000 0.0000 0.0000  6 Ta 2.43
Ta1 0.0000 0.5000 0.0000  2 Ir 2.43
Ta2 0.0000 0.0000 0.5000  2 Ir 2.43
Ta3 0.5000 0.0000 0.0000  2 Ir 2.43

Winner for stability: *1*

*1*
The following is a GGA-PBE calculation of TaIr3S after structural relaxation, from Alexandria.

## Properties
N(E_F) in states/eV/atom: 1.369

Unit cell a=4.8003 b=4.8003 c=4.8003 alpha=90.00 beta=90.00 gamma=90.00
Last column: nearest neighbours and their distance in Å.
Atoms (fractional coordinates):
S1 0.5000 0.5000 0.5000  12 Ir 3.39
Ir1 0.0000 0.5000 0.0000  2 Ta 2.40
Ir2 0.0000 0.0000 0.5000  2 Ta 2.40
Ir3 0.5000 0.0000 0.0000  2 Ta 2.40
Ta1 0.0000 0.0000 0.0000  6 Ir 2.40

*2*
The following is a GGA-PBE calculation of TaIr3S after structural relaxation, from Alexandria.

## Properties
N(E_F) in states/eV/atom: 2.321

Unit cell a=4.4009 b=4.4009 c=4.4009 alpha=90.00 beta=90.00 gamma=90.00
Last column: nearest neighbours and their distance in Å.
Atoms (fractional coordinates):
S1 0.0000 0.0000 0.0000  6 Ir 2.20
Ir1 0.0000 0.5000 0.0000  2 S 2.20
Ir2 0.0000 0.0000 0.5000  2 S 2.20
Ir3 0.5000 0.0000 0.0000  2 S 2.20
Ta1 0.5000 0.5000 0.5000  12 Ir 3.11

Winner for stability: *2*

*1*
The following is a GGA-PBE calculation of TaIrS3 after structural relaxation, from Alexandria.

## Properties
N(E_F) in states/eV/atom: 1.073

Unit cell a=4.5469 b=4.5469 c=4.5469 alpha=90.00 beta=90.00 gamma=90.00
Last column: nearest neighbours and their distance in Å.
Atoms (fractional coordinates):
S1 0.0000 0.5000 0.0000  2 Ir 2.27
S2 0.0000 0.0000 0.5000  2 Ir 2.27
S3 0.5000 0.0000 0.0000  2 Ir 2.27
Ir1 0.0000 0.0000 0.0000  6 S 2.27
Ta1 0.5000 0.5000 0.5000  12 S 3.22

*2*
The following is a GGA-PBE calculation of TaIrS3 after structural relaxation, from Alexandria.

## Properties
N(E_F) in states/eV/atom: 1.101

Unit cell a=4.7317 b=4.7317 c=4.7317 alpha=90.00 beta=90.00 gamma=90.00
Last column: nearest neighbours and their distance in Å.
Atoms (fractional coordinates):
S1 0.0000 0.5000 0.0000  2 Ta 2.37
S2 0.0000 0.0000 0.5000  2 Ta 2.37
S3 0.5000 0.0000 0.0000  2 Ta 2.37
Ir1 0.5000 0.5000 0.5000  12 S 3.35
Ta1 0.0000 0.0000 0.0000  6 S 2.37

Winner for stability: *2*

*1*
The following is a GGA-PBE calculation of TiIrS4 after structural relaxation, from Alexandria.

## Properties
N(E_F) in states/eV/atom: 0.678

Unit cell a=3.4849 b=6.2930 c=5.5663 alpha=87.32 beta=90.00 gamma=90.00
Last column: nearest neighbours and their distance in Å.
Atoms (fractional coordinates):
Ti1 0.0000 0.0000 0.0000  6 S 2.41-2.44
Ir1 0.5000 0.0000 0.5000  6 S 2.39-2.41
S1 0.0000 0.7750 0.6607  2 Ir 2.39, 1 Ti 2.41
S2 0.5000 0.2328 0.8311  1 Ir 2.41, 2 Ti 2.44
S3 0.5000 0.7672 0.1689  1 Ir 2.41, 2 Ti 2.44
S4 0.0000 0.2250 0.3393  2 Ir 2.39, 1 Ti 2.41

*2*
The following is a GGA-PBE calculation of TiIrS4 after structural relaxation, from Alexandria.

## Properties
N(E_F) in states/eV/atom: 0.592

Unit cell a=5.8325 b=5.7813 c=5.9326 alpha=90.00 beta=91.48 gamma=90.00
Last column: nearest neighbours and their distance in Å.
Atoms (fractional coordinates):
Ti1 0.0000 0.0000 0.0000  6 S 2.41-2.48
Ti2 0.5000 0.5000 0.0000  6 S 2.41-2.48
Ir1 0.5000 0.0000 0.5000  6 S 2.37-2.40
Ir2 0.0000 0.5000 0.5000  6 S 2.37-2.40
S1 0.8698 0.6335 0.1411  1 Ir 2.37, 2 Ti 2.41-2.42
S2 0.6302 0.1335 0.8589  1 Ir 2.37, 2 Ti 2.41-2.42
S3 0.3630 0.3695 0.3709  2 Ir 2.39-2.40, 1 Ti 2.48, 1 S 2.66
S4 0.1370 0.8695 0.6291  2 Ir 2.39-2.40, 1 Ti 2.48, 1 S 2.66
S5 0.1302 0.3665 0.8589  1 Ir 2.37, 2 Ti 2.41-2.42
S6 0.3698 0.8665 0.1411  1 Ir 2.37, 2 Ti 2.41-2.42
S7 0.6370 0.6305 0.6291  2 Ir 2.39-2.40, 1 Ti 2.48, 1 S 2.66
S8 0.8630 0.1305 0.3709  2 Ir 2.39-2.40, 1 Ti 2.48, 1 S 2.66

Winner for stability: *1*

*1*
The following is a GGA-PBE calculation of TiIrS3 after structural relaxation, from Alexandria.

## Properties
N(E_F) in states/eV/atom: 0.523

Unit cell a=6.4479 b=7.8557 c=7.8557 alpha=87.93 beta=78.66 gamma=78.66
Last column: nearest neighbours and their distance in Å.
Atoms (fractional coordinates):
Ti1 0.2500 0.3249 0.6751  4 S 2.24-2.38
Ti2 0.7500 0.6751 0.3249  4 S 2.24-2.38
Ti3 0.2500 0.9657 0.0343  4 S 2.39
Ti4 0.7500 0.0343 0.9657  4 S 2.39
Ir1 0.4767 0.8407 0.6678  6 S 2.38-2.48
Ir2 0.0233 0.3322 0.1593  6 S 2.38-2.48
Ir3 0.5233 0.1593 0.3322  6 S 2.38-2.48
Ir4 0.9767 0.6678 0.8407  6 S 2.38-2.48
S1 0.0781 0.6317 0.1167  2 Ir 2.38-2.45, 1 Ti 2.38
S2 0.4219 0.8833 0.3683  2 Ir 2.38-2.45, 1 Ti 2.38
S3 0.9219 0.3683 0.8833  2 Ir 2.38-2.45, 1 Ti 2.38
S4 0.5781 0.1167 0.6317  2 Ir 2.38-2.45, 1 Ti 2.38
S5 0.6489 0.4252 0.2862  1 Ti 2.24, 2 Ir 2.38-2.40
S6 0.8511 0.7138 0.5748  1 Ti 2.24, 2 Ir 2.38-2.40
S7 0.3511 0.5748 0.7138  1 Ti 2.24, 2 Ir 2.38-2.40
S8 0.1489 0.2862 0.4252  1 Ti 2.24, 2 Ir 2.38-2.40
S9 0.5967 0.7841 0.9488  2 Ti 2.39, 2 Ir 2.43-2.48
S10 0.9033 0.0512 0.2159  2 Ti 2.39, 2 Ir 2.43-2.48
S11 0.4033 0.2159 0.0512  2 Ti 2.39, 2 Ir 2.43-2.48
S12 0.0967 0.9488 0.7841  2 Ti 2.39, 2 Ir 2.43-2.48

*2*
The following is a GGA-PBE calculation of TiIrS3 after structural relaxation, from Alexandria.

## Properties
N(E_F) in states/eV/atom: 1.025

Unit cell a=4.6099 b=4.6099 c=4.6099 alpha=90.00 beta=90.00 gamma=90.00
Last column: nearest neighbours and their distance in Å.
Atoms (fractional coordinates):
S1 0.0000 0.5000 0.0000  2 Ti 2.30
S2 0.0000 0.0000 0.5000  2 Ti 2.30
S3 0.5000 0.0000 0.0000  2 Ti 2.30
Ir1 0.5000 0.5000 0.5000  12 S 3.26
Ti1 0.0000 0.0000 0.0000  6 S 2.30

Winner for stability: *1*

*1*
The following is a GGA-PBE calculation of Ti3IrS after structural relaxation, from Alexandria.

## Properties
N(E_F) in states/eV/atom: 1.008

Unit cell a=4.7634 b=4.7634 c=4.7634 alpha=90.00 beta=90.00 gamma=90.00
Last column: nearest neighbours and their distance in Å.
Atoms (fractional coordinates):
S1 0.5000 0.5000 0.5000  12 Ti 3.37
Ir1 0.0000 0.0000 0.0000  6 Ti 2.38
Ti1 0.0000 0.5000 0.0000  2 Ir 2.38
Ti2 0.0000 0.0000 0.5000  2 Ir 2.38
Ti3 0.5000 0.0000 0.0000  2 Ir 2.38

*2*
The following is a GGA-PBE calculation of Ti3IrS after structural relaxation, from Alexandria.

## Properties
N(E_F) in states/eV/atom: 0.681

Unit cell a=4.3862 b=4.3862 c=4.3862 alpha=90.00 beta=90.00 gamma=90.00
Last column: nearest neighbours and their distance in Å.
Atoms (fractional coordinates):
S1 0.0000 0.0000 0.0000  6 Ti 2.19
Ir1 0.5000 0.5000 0.5000  12 Ti 3.10
Ti1 0.0000 0.5000 0.0000  2 S 2.19
Ti2 0.0000 0.0000 0.5000  2 S 2.19
Ti3 0.5000 0.0000 0.0000  2 S 2.19

Winner for stability: *2*

*1*
The following is a GGA-PBE calculation of VIr3S after structural relaxation, from Alexandria.

## Properties
N(E_F) in states/eV/atom: 1.340

Unit cell a=4.3891 b=4.3891 c=4.3891 alpha=90.00 beta=90.00 gamma=90.00
Last column: nearest neighbours and their distance in Å.
Atoms (fractional coordinates):
S1 0.0000 0.0000 0.0000  6 Ir 2.19
Ir1 0.0000 0.5000 0.0000  2 S 2.19
Ir2 0.0000 0.0000 0.5000  2 S 2.19
Ir3 0.5000 0.0000 0.0000  2 S 2.19
V1 0.5000 0.5000 0.5000  12 Ir 3.10

*2*
The following is a GGA-PBE calculation of VIr3S after structural relaxation, from Alexandria.

## Properties
N(E_F) in states/eV/atom: 1.669

Unit cell a=4.5433 b=4.5433 c=4.5433 alpha=90.00 beta=90.00 gamma=90.00
Last column: nearest neighbours and their distance in Å.
Atoms (fractional coordinates):
S1 0.5000 0.5000 0.5000  12 Ir 3.21
Ir1 0.0000 0.5000 0.0000  2 V 2.27
Ir2 0.0000 0.0000 0.5000  2 V 2.27
Ir3 0.5000 0.0000 0.0000  2 V 2.27
V1 0.0000 0.0000 0.0000  6 Ir 2.27

Winner for stability: *1*

*1*
The following is a GGA-PBE calculation of IrW3S after structural relaxation, from Alexandria.

## Properties
N(E_F) in states/eV/atom: 1.028

Unit cell a=4.3675 b=4.3675 c=4.3675 alpha=90.00 beta=90.00 gamma=90.00
Last column: nearest neighbours and their distance in Å.
Atoms (fractional coordinates):
S1 0.0000 0.0000 0.0000  6 W 2.18
Ir1 0.5000 0.5000 0.5000  12 W 3.09
W1 0.0000 0.5000 0.0000  2 S 2.18
W2 0.0000 0.0000 0.5000  2 S 2.18
W3 0.5000 0.0000 0.0000  2 S 2.18

*2*
The following is a GGA-PBE calculation of IrW3S after structural relaxation, from Alexandria.

## Properties
N(E_F) in states/eV/atom: 1.131

Unit cell a=4.7770 b=4.7770 c=4.7770 alpha=90.00 beta=90.00 gamma=90.00
Last column: nearest neighbours and their distance in Å.
Atoms (fractional coordinates):
S1 0.5000 0.5000 0.5000  12 W 3.38
Ir1 0.0000 0.0000 0.0000  6 W 2.39
W1 0.0000 0.5000 0.0000  2 Ir 2.39
W2 0.0000 0.0000 0.5000  2 Ir 2.39
W3 0.5000 0.0000 0.0000  2 Ir 2.39

Winner for stability: *1*

*1*
The following is a GGA-PBE calculation of IrWS3 after structural relaxation, from Alexandria.

## Properties
N(E_F) in states/eV/atom: 0.740

Unit cell a=4.5825 b=4.5825 c=4.5825 alpha=90.00 beta=90.00 gamma=90.00
Last column: nearest neighbours and their distance in Å.
Atoms (fractional coordinates):
S1 0.0000 0.5000 0.0000  2 Ir 2.29
S2 0.0000 0.0000 0.5000  2 Ir 2.29
S3 0.5000 0.0000 0.0000  2 Ir 2.29
Ir1 0.0000 0.0000 0.0000  6 S 2.29
W1 0.5000 0.5000 0.5000  12 S 3.24

*2*
The following is a GGA-PBE calculation of IrWS3 after structural relaxation, from Alexandria.

## Properties
N(E_F) in states/eV/atom: 1.724

Unit cell a=4.6300 b=4.6300 c=4.6300 alpha=90.00 beta=90.00 gamma=90.00
Last column: nearest neighbours and their distance in Å.
Atoms (fractional coordinates):
S1 0.0000 0.5000 0.0000  2 W 2.31
S2 0.0000 0.0000 0.5000  2 W 2.31
S3 0.5000 0.0000 0.0000  2 W 2.31
Ir1 0.5000 0.5000 0.5000  12 S 3.27
W1 0.0000 0.0000 0.0000  6 S 2.31

Winner for stability: *2*

*1*
The following is a GGA-PBE calculation of YIrS2 after structural relaxation, from Alexandria.

## Properties
N(E_F) in states/eV/atom: 0.078

Unit cell a=4.8673 b=4.8673 c=7.9575 alpha=72.19 beta=72.19 gamma=90.00
Last column: nearest neighbours and their distance in Å.
Atoms (fractional coordinates):
Y1 0.5000 0.5000 0.0000  4 S 2.64
Y2 0.2500 0.7500 0.5000  4 S 2.64
S1 0.6847 0.1250 0.2500  2 Ir 2.36
S2 0.0653 0.6250 0.2500  2 Ir 2.36
S3 0.3750 0.3153 0.7500  2 Ir 2.36
S4 0.8750 0.9347 0.7500  2 Ir 2.36
Ir1 0.0000 0.0000 0.0000  4 S 2.36
Ir2 0.7500 0.2500 0.5000  4 S 2.36

*2*
The following is a GGA-PBE calculation of YIrS2 after structural relaxation, from Alexandria.

## Properties
N(E_F) in states/eV/atom: 0.918

Unit cell a=4.6048 b=4.6048 c=4.6048 alpha=60.00 beta=60.00 gamma=60.00
Last column: nearest neighbours and their distance in Å.
Atoms (fractional coordinates):
Y1 0.0000 0.0000 0.0000  8 S 2.82
S1 0.2500 0.2500 0.2500  4 Ir 2.82, 4 Y 2.82
S2 0.7500 0.7500 0.7500  4 Ir 2.82, 4 Y 2.82
Ir1 0.5000 0.5000 0.5000  8 S 2.82

*3*
The following is a GGA-PBE calculation of YIrS2 after structural relaxation, from Alexandria.

## Properties
N(E_F) in states/eV/atom: 0.993

Unit cell a=7.8359 b=7.8359 c=7.8359 alpha=29.21 beta=29.21 gamma=29.21
Last column: nearest neighbours and their distance in Å.
Atoms (fractional coordinates):
Y1 0.5000 0.5000 0.5000  6 S 2.72
S1 0.8993 0.8993 0.8993  1 Ir 2.26
S2 0.1007 0.1007 0.1007  1 Ir 2.26
Ir1 0.0000 0.0000 0.0000  2 S 2.26

Winner for stability: *1*

*1*
The following is a GGA-PBE calculation of Zn3IrS after structural relaxation, from Alexandria.

## Properties
N(E_F) in states/eV/atom: 0.782

Unit cell a=4.7833 b=4.7833 c=4.7833 alpha=90.00 beta=90.00 gamma=90.00
Last column: nearest neighbours and their distance in Å.
Atoms (fractional coordinates):
Zn1 0.0000 0.5000 0.0000  2 Ir 2.39
Zn2 0.0000 0.0000 0.5000  2 Ir 2.39
Zn3 0.5000 0.0000 0.0000  2 Ir 2.39
Ir1 0.0000 0.0000 0.0000  6 Zn 2.39
S1 0.5000 0.5000 0.5000  12 Zn 3.38

*2*
The following is a GGA-PBE calculation of Zn3IrS after structural relaxation, from Alexandria.

## Properties
N(E_F) in states/eV/atom: 0.578

Unit cell a=4.4795 b=4.4795 c=4.4795 alpha=90.00 beta=90.00 gamma=90.00
Last column: nearest neighbours and their distance in Å.
Atoms (fractional coordinates):
Zn1 0.0000 0.5000 0.0000  2 S 2.24
Zn2 0.0000 0.0000 0.5000  2 S 2.24
Zn3 0.5000 0.0000 0.0000  2 S 2.24
Ir1 0.5000 0.5000 0.5000  12 Zn 3.17
S1 0.0000 0.0000 0.0000  6 Zn 2.24

Winner for stability: *1*

*1*
The following is a GGA-PBE calculation of ZrIrS3 after structural relaxation, from Alexandria.

## Properties
N(E_F) in states/eV/atom: 1.048

Unit cell a=4.9205 b=4.9205 c=4.9205 alpha=90.00 beta=90.00 gamma=90.00
Last column: nearest neighbours and their distance in Å.
Atoms (fractional coordinates):
S1 0.0000 0.5000 0.0000  2 Zr 2.46
S2 0.0000 0.0000 0.5000  2 Zr 2.46
S3 0.5000 0.0000 0.0000  2 Zr 2.46
Ir1 0.5000 0.5000 0.5000  12 S 3.48
Zr1 0.0000 0.0000 0.0000  6 S 2.46

*2*
The following is a GGA-PBE calculation of ZrIrS3 after structural relaxation, from Alexandria.

## Properties
N(E_F) in states/eV/atom: 0.389

Unit cell a=4.5936 b=4.5936 c=4.5936 alpha=90.00 beta=90.00 gamma=90.00
Last column: nearest neighbours and their distance in Å.
Atoms (fractional coordinates):
S1 0.0000 0.5000 0.0000  2 Ir 2.30
S2 0.0000 0.0000 0.5000  2 Ir 2.30
S3 0.5000 0.0000 0.0000  2 Ir 2.30
Ir1 0.0000 0.0000 0.0000  6 S 2.30
Zr1 0.5000 0.5000 0.5000  12 S 3.25

Winner for stability: *2*